An optimized crystal structure of NaRuN2. Source: Alexandria, functional PBE.

The value obtained for the calculated density is 4.19 g/cm3. For the formation energy (no corrections), the calculation gives 0.12 eV per atom.

The structure belongs to space group I-42d (No. 122); the cell edges are 5.2264, 5.2264 and 8.8221 Å and the angles 90.00°, 90.00° and 90.00°. Symmetry generates all atoms from Na at (0.0000, 0.0000, 0.0000), Ru at (0.0000, 0.0000, 0.5000) and N at (0.1533, 0.2500, 0.6250).